No. 1
First-principles (PBE) data for LaSc2TlP after structural relaxation, as listed in Alexandria via LeMat-Bulk.

Results
DOS(E_F)	3.42	states/eV per cell
size of the total moment	0.00	Bohr magnetons per cell
formation energy	-0.637	eV per atom
E	-0.210	Ha/atom

Cell and atoms, written as CIF:
```
data_LaSc2TlP
_symmetry_space_group_name_H-M 'P 4/m m m'
_symmetry_Int_Tables_number 123
_symmetry_space_group_name_Hall '-P 4 2'
_cell_length_a 4.9903
_cell_length_b 4.9903
_cell_length_c 5.5340
_cell_angle_alpha 90.00
_cell_angle_beta 90.00
_cell_angle_gamma 90.00
loop_
_atom_site_label
_atom_site_type_symbol
_atom_site_fract_x
_atom_site_fract_y
_atom_site_fract_z
La1 La 0.0000 0.0000 0.0000
Sc1 Sc 0.0000 0.5000 0.5000
Tl1 Tl 0.5000 0.5000 0.0000
P1 P 0.0000 0.0000 0.5000
```



No. 2
First-principles (PBE) data for Zr2AgSb after structural relaxation, as listed in Alexandria via LeMat-Bulk.

Results
DOS(E_F)	15.68	states/eV per cell
size of the total moment	0.00	Bohr magnetons per cell
E_form (uncorrected)	-0.06	eV per atom
E	-0.223	Ha/atom

Cell and atoms, written as CIF:
```
data_Zr2AgSb
_symmetry_space_group_name_H-M 'I -4 2 d'
_symmetry_Int_Tables_number 122
_symmetry_space_group_name_Hall 'I -4 2bw'
_cell_length_a 7.7901
_cell_length_b 7.7901
_cell_length_c 6.0651
_cell_angle_alpha 90.00
_cell_angle_beta 90.00
_cell_angle_gamma 90.00
loop_
_atom_site_label
_atom_site_type_symbol
_atom_site_fract_x
_atom_site_fract_y
_atom_site_fract_z
Zr1 Zr 0.2447 0.2500 0.1250
Ag1 Ag 0.0000 0.0000 0.0000
Sb1 Sb 0.0000 0.0000 0.5000
```